(1)
VASP calculation (PBE) on Cu4ReMo after structural relaxation.

```
Cu4ReMo
1.0
0.000 3.365 3.365
3.365 0.000 3.365
3.365 3.365 0.000
Cu Re Mo
4 1 1
Cartesian
0.842 0.842 0.842
2.523 2.523 0.842
2.523 0.842 2.523
0.842 2.523 2.523
3.365 3.365 3.365
5.048 5.048 5.048
```

The space group is F-43m, No. 216. The calculation puts the energy of formation at 0.20 eV/atom.

---

(2)
VASP calculation (PBE) on TlAs2Os after structural relaxation.

```
TlAs2Os
1.0
4.796 0.000 0.000
0.000 4.796 0.000
0.000 0.000 3.281
Tl As Os
1 2 1
Cartesian
0.000 0.000 0.000
0.000 2.398 1.641
2.398 0.000 1.641
2.398 2.398 0.000
```

The space group is P4/mmm, No. 123. As for the excess energy over the best structure of this formula in the dataset: 76.9 kJ/mol of atoms. The calculation puts the energy of formation at 0.93 eV/atom.

---

(3)
VASP calculation (PBE) on Tb3Dy2HoEr6 after structural relaxation.

```
Tb3Dy2HoEr6
1.0
3.049 -5.276 0.000
3.049 5.276 0.000
-2.022 0.000 11.472
Tb Dy Ho Er
3 2 1 6
Cartesian
0.000 0.000 0.000
3.049 1.759 0.000
3.049 -1.759 0.000
2.038 3.518 5.736
2.038 -3.518 5.736
2.038 0.000 5.736
1.017 1.758 2.875
0.010 0.000 8.598
1.017 -1.758 2.875
3.059 1.758 8.597
4.066 0.000 2.874
3.059 -1.758 8.597
```

The space group is C2/m, No. 12. The calculation puts the energy of formation at 0.02 eV/atom.

---

(4)
VASP calculation (PBE) on Ti4NbZn2 after structural relaxation.

```
Ti4NbZn2
1.0
-2.536 2.536 4.753
2.536 -2.536 4.753
2.536 2.536 -4.753
Ti Nb Zn
4 1 2
Cartesian
2.536 0.000 0.000
2.536 0.000 2.377
0.000 2.536 0.000
0.000 2.536 2.377
0.000 0.000 0.000
0.000 0.000 3.411
0.000 0.000 6.096
```

The space group is I4/mmm, No. 139. The calculation puts the energy of formation at 0.39 eV/atom.

---

(5)
VASP calculation (PBE) on K2BaSrCl after structural relaxation.

```
K2BaSrCl
1.0
6.668 0.000 0.000
0.000 6.668 0.000
0.000 0.000 6.027
K Ba Sr Cl
2 1 1 1
Cartesian
0.000 3.334 0.000
3.334 0.000 0.000
0.000 0.000 3.014
3.334 3.334 3.014
3.334 3.334 0.000
```

The space group is P4/mmm, No. 123. For the energy relative to the elements, uncorrected, the calculation gives -0.572 eV per atom. As for the excess energy over the best structure of this formula in the dataset: 4.3 kJ/mol of atoms.

---

(6)
VASP calculation (PBE) on K2PuH2O6 after structural relaxation.

```
K2PuH2O6
1.0
5.316 0.000 0.000
-2.658 4.604 0.000
0.000 0.000 5.901
K Pu H O
2 1 2 6
Cartesian
0.000 3.069 2.078
2.658 1.535 3.823
0.000 0.000 0.000
0.000 3.069 4.873
2.658 1.535 1.028
0.000 1.635 4.760
-1.242 3.786 4.760
1.416 0.818 1.141
1.242 3.786 4.760
3.900 0.818 1.141
2.658 2.969 1.141
```

The space group is P-3m1, No. 164.

---

The evaluated energy for the records listed, in turn: -38.46 -19.16 -54.82 -41.44 -10.51 -69.04 eV/cell.